(1)
DFT (PBE-GGA) results for an optimized crystal structure of K3Tl5F12.

Calculated values
For the size of the total moment, the calculation gives 0.00 μB/f.u. The uncorrected energy is -4.0026 eV/atom.

Cell and atoms, written as extended XYZ:
```
80
Lattice="13.126 0.000 0.000 -4.375 12.375 0.000 -4.375 -6.188 10.717" Properties=species:S:1:pos:R:3 pbc="T T T"
F -1.389 -3.145 7.430
F 1.873 4.520 7.032
F 1.934 8.428 4.677
F 6.877 -0.736 2.072
F 5.114 -1.360 9.726
F -0.799 7.462 4.367
F -3.577 10.607 1.080
F 4.061 -1.668 3.686
F -2.502 6.924 8.646
F -1.389 4.419 9.637
F 6.249 7.120 5.757
F 2.502 1.668 3.686
F 5.174 -1.274 6.350
F -4.061 5.256 5.757
F 7.952 -4.419 9.637
F 6.817 11.358 0.398
F 9.005 -2.930 6.439
F -0.314 0.736 2.072
F 4.690 5.452 8.646
F -5.174 3.145 7.430
F 0.254 3.947 4.677
F 4.121 2.240 6.040
F 1.449 -1.538 10.036
F 5.825 6.367 1.673
F 2.926 7.726 0.682
F 5.114 1.538 10.036
F 8.436 0.932 4.960
F 2.986 4.913 4.367
F -1.873 -0.932 4.960
F 1.449 1.360 9.726
F -4.121 5.171 10.319
F 0.314 7.856 7.032
F 6.817 3.257 4.279
F -2.442 -5.171 10.319
F -5.114 0.179 9.044
F 9.549 3.043 3.287
F 9.489 6.009 1.673
F 1.389 1.274 6.350
F -1.449 -0.179 9.044
F -0.738 7.547 0.992
F 5.764 9.333 3.287
F -2.442 2.930 6.439
F 5.764 1.768 1.080
F 2.926 4.828 0.992
F 2.442 -2.240 6.040
F -0.738 4.649 0.682
F 8.497 1.017 0.398
F -4.630 9.118 4.279
Tl -3.282 6.961 4.019
Tl 1.094 -3.094 8.038
Tl 0.000 0.000 0.000
Tl 5.469 5.414 4.019
Tl 5.469 3.094 8.038
Tl -1.094 3.094 2.679
Tl -1.094 10.055 1.340
Tl -1.094 0.773 6.698
Tl 2.188 3.094 5.359
Tl -4.375 3.094 5.359
Tl 6.563 0.000 0.000
Tl 3.282 9.282 2.679
Tl 5.469 -3.867 9.378
Tl 4.375 -3.094 5.359
Tl -2.188 -3.094 5.359
Tl 3.282 2.320 1.340
Tl 7.657 -0.773 6.698
Tl 1.094 3.867 9.378
Tl 4.375 6.188 0.000
Tl -2.188 6.188 0.000
K 3.282 0.000 8.038
K -3.282 2.320 9.378
K 5.469 0.773 4.019
K -5.469 6.188 8.038
K 1.094 -0.773 4.019
K 7.657 8.508 1.340
K -1.094 5.414 6.698
K -3.282 -2.320 9.378
K 7.657 3.867 1.340
K 3.282 6.961 6.698
K 1.094 6.188 2.679
K 9.845 0.000 2.679
```

---

(2)
DFT (PBE-GGA) results for an optimized crystal structure of KTlF2.

Calculated values
For the size of the total moment, the calculation gives 0.00 μB/f.u. The uncorrected energy is -4.0294 eV/atom.

Cell and atoms, written as extended XYZ:
```
4
Lattice="3.895 -0.001 -0.004 -1.948 3.373 0.004 -1.943 -1.126 6.483" Properties=species:S:1:pos:R:3 pbc="T T T"
K 1.952 -1.128 6.480
F 0.004 -0.002 4.958
F 0.001 2.248 1.525
Tl -1.945 1.123 3.243
```

---

(3)
DFT (PBE-GGA) results for an optimized crystal structure of KTl2F6.

Calculated values
For the size of the total moment, the calculation gives 0.00 μB/f.u. The uncorrected energy is -3.9263 eV/atom.

Cell and atoms, written as extended XYZ:
```
9
Lattice="6.251 0.000 0.000 -3.126 5.414 0.000 0.000 0.000 5.278" Properties=species:S:1:pos:R:3 pbc="T T T"
Tl 0.000 3.609 2.639
Tl 3.126 1.805 2.639
F -1.151 1.993 3.800
F 1.975 3.421 3.800
F 2.301 0.000 3.800
F 3.950 0.000 1.478
F -1.975 3.421 1.478
F 1.151 1.993 1.478
K 0.000 0.000 0.000
```

---

(4)
DFT (PBE-GGA) results for an optimized crystal structure of KTmTl2F6.

Calculated values
For the size of the total moment, the calculation gives 0.00 μB/f.u. The uncorrected energy is -5.1153 eV/atom.

Cell and atoms, written as extended XYZ:
```
20
Lattice="-2.196 5.866 -1.625 -4.190 -2.794 -4.424 -6.551 -0.564 6.560" Properties=species:S:1:pos:R:3 pbc="T T T"
F -4.230 0.578 1.888
F -1.716 0.304 -0.937
F -3.297 3.217 0.681
F -5.705 3.677 -2.407
F -7.232 -1.169 2.919
F -11.221 2.204 1.449
F -6.229 2.862 1.384
F -9.640 -0.710 -0.170
F -9.252 2.796 3.671
F -6.708 -0.354 -0.873
F -8.706 1.930 -1.377
F -3.685 -0.289 -3.160
K -1.098 2.933 -0.812
K -5.371 -1.679 1.068
Tl -5.704 -2.773 -2.605
Tl -7.233 5.280 3.117
Tl -8.311 1.056 1.727
Tl -4.625 1.452 -1.216
Tm -2.095 -1.397 -2.212
Tm -4.373 2.651 2.468
```

---

(5)
DFT (PBE-GGA) results for an optimized crystal structure of K2UTlF8.

Calculated values
For the size of the total moment, the calculation gives 1.00 μB/f.u. The uncorrected energy is -5.6353 eV/atom.

Cell and atoms, written as extended XYZ:
```
12
Lattice="6.046 0.000 0.000 0.000 6.046 0.000 -3.023 -3.023 6.105" Properties=species:S:1:pos:R:3 pbc="T T T"
F 1.296 1.753 4.332
F 4.776 1.727 1.773
F 1.269 1.727 1.773
F -1.296 -1.753 4.332
F 4.776 4.319 1.773
F -1.296 1.753 4.332
F 1.296 -1.753 4.332
F 1.269 4.319 1.773
U 0.000 3.023 3.052
Tl 3.023 3.023 0.000
K 0.000 0.000 0.000
K 3.023 0.000 3.052
```

---

(6)
DFT (PBE-GGA) results for an optimized crystal structure of KUTlF6.

Calculated values
For the size of the total moment, the calculation gives 2.00 μB/f.u. The uncorrected energy is -5.9549 eV/atom.

Cell and atoms, written as extended XYZ:
```
18
Lattice="6.761 0.000 0.000 -3.381 5.856 0.000 0.000 0.000 10.086" Properties=species:S:1:pos:R:3 pbc="T T T"
F 2.426 3.546 1.360
F -0.903 5.527 6.403
F 1.523 1.981 3.684
F 4.335 3.546 3.684
F 2.477 0.328 1.360
F -1.858 3.874 8.727
F 4.284 0.328 3.684
F -0.954 2.310 6.403
F 0.954 2.310 8.727
F 5.238 1.981 1.360
F 1.858 3.874 6.403
F 0.903 5.527 8.727
K 3.381 1.952 7.565
K 0.000 3.904 2.522
Tl 0.000 0.000 5.043
Tl 0.000 0.000 0.000
U 0.000 3.904 7.565
U 3.381 1.952 2.522
```